Material: PmThCBr
Method: DFT, PBE
State: optimized geometry

Unit cell a=3.745 b=3.752 c=7.907 alpha=89.98 beta=103.66 gamma=120.11
Fractional coordinates of all 4 atoms:
Pm 0.511 0.154 0.681
Th 0.088 0.942 0.045
C 0.305 0.550 0.871
Br 0.974 0.385 0.373

As for the formation energy from raw total energies: -334 kJ/mol of formula units.

***

Material: Cs2Sn5Hg3
Method: DFT, PBE
State: optimized geometry

Unit cell a=7.370 b=10.294 c=10.294 alpha=72.41 beta=69.02 gamma=69.02
Fractional coordinates of all 20 atoms:
Cs 0.120 0.638 0.121
Cs 0.620 0.121 0.638
Cs 0.880 0.362 0.879
Cs 0.380 0.879 0.362
Sn 0.365 0.255 0.015
Sn 0.865 0.015 0.255
Sn 0.635 0.745 0.985
Sn 0.135 0.985 0.745
Sn 0.511 0.739 0.739
Sn 0.489 0.261 0.261
Sn 0.750 0.500 0.500
Sn 0.250 0.500 0.500
Sn 0.989 0.261 0.261
Sn 0.011 0.739 0.739
Hg 0.378 0.483 0.761
Hg 0.878 0.761 0.483
Hg 0.622 0.517 0.239
Hg 0.122 0.239 0.517
Hg 0.250 0.000 0.000
Hg 0.750 0.000 0.000

The energy of formation from the pure elements is -0.1630 eV/atom.

***

Material: NaCu5Ge2
Method: DFT, PBE
State: optimized geometry

Unit cell a=3.853 b=6.151 c=6.151 alpha=68.11 beta=71.75 gamma=71.75
Fractional coordinates of all 8 atoms:
Na 0.000 0.000 0.000
Cu 0.000 0.500 0.500
Cu 0.640 0.541 0.180
Cu 0.360 0.459 0.820
Cu 0.360 0.820 0.459
Cu 0.640 0.180 0.541
Ge 0.742 0.758 0.758
Ge 0.258 0.242 0.242

The energy of formation from the pure elements is 0.0343 eV/atom.

***

no.,total magnetic moment (μB per formula unit)
1,0.00
2,0.00
3,0.00